# 1
A PBEsol-optimized structure of Cr2InMo. Source: the Alexandria database, functional meta-GGA SCAN.

Output
Formation enthalpy at 0 K in eV per atom: 0.42

Cell lengths 3.176, 4.402, 4.953 Å; angles 116.42, 108.70, 90.00 degrees
Fractional coordinates of all 4 atoms:
1 Cr 0.233 0.233 0.465
2 Cr 0.767 0.767 0.535
3 In 0.000 0.500 0.000
4 Mo 0.500 0.000 0.000

***

# 2
A PBEsol-optimized structure of Cr3InMo. Source: the Alexandria database, functional meta-GGA SCAN.

Output
Formation enthalpy at 0 K in eV per atom: 1.68

Cell lengths 4.831, 4.831, 4.831 Å; angles 90.00, 90.00, 90.00 degrees
Fractional coordinates of all 5 atoms:
1 Cr 0.000 0.500 0.000
2 Cr 0.000 0.000 0.500
3 Cr 0.500 0.000 0.000
4 Mo 0.500 0.500 0.500
5 In 0.000 0.000 0.000

***

# 3
A PBEsol-optimized structure of CrInMo2. Source: the Alexandria database, functional meta-GGA SCAN.

Output
Formation enthalpy at 0 K in eV per atom: 0.39

Cell lengths 2.717, 5.202, 5.202 Å; angles 117.92, 98.98, 98.98 degrees
Fractional coordinates of all 4 atoms:
1 Cr 0.500 0.000 0.000
2 In 0.500 0.500 0.500
3 Mo 0.000 0.500 0.000
4 Mo 0.000 0.000 0.500

***

# 4
A PBEsol-optimized structure of CrInMo2. Source: the Alexandria database, functional meta-GGA SCAN.

Output
Formation enthalpy at 0 K in eV per atom: 0.26

Cell lengths 3.199, 3.199, 6.117 Å; angles 90.00, 90.00, 90.00 degrees
Fractional coordinates of all 4 atoms:
1 Cr 0.500 0.500 0.000
2 In 0.500 0.500 0.500
3 Mo 0.000 0.000 0.796
4 Mo 0.000 0.000 0.204

***

# 5
A PBEsol-optimized structure of CrInMo2. Source: the Alexandria database, functional meta-GGA SCAN.

Output
Formation enthalpy at 0 K in eV per atom: 0.45

Cell lengths 2.921, 2.921, 8.701 Å; angles 80.34, 80.34, 60.00 degrees
Fractional coordinates of all 4 atoms:
1 Cr 0.500 0.500 0.500
2 In 0.000 0.000 0.000
3 Mo 0.238 0.238 0.286
4 Mo 0.762 0.762 0.714

***

# 6
A PBEsol-optimized structure of CrInMo2. Source: the Alexandria database, functional meta-GGA SCAN.

Output
Formation enthalpy at 0 K in eV per atom: 0.33

Cell lengths 2.763, 2.763, 8.717 Å; angles 90.00, 90.00, 110.46 degrees
Fractional coordinates of all 4 atoms:
1 Cr 0.000 0.000 0.518
2 In 0.500 0.500 0.261
3 Mo 0.000 0.000 0.984
4 Mo 0.500 0.500 0.738

***

# 7
A PBEsol-optimized structure of CrIn2SiN. Source: the Alexandria database, functional meta-GGA SCAN.

Output
Formation energy from raw total energies in meV/atom: 1399

Cell lengths 4.568, 5.097, 5.097 Å; angles 90.00, 90.00, 90.00 degrees
Fractional coordinates of all 5 atoms:
1 Cr 0.500 0.000 0.000
2 Si 0.000 0.000 0.000
3 N 0.500 0.500 0.500
4 In 0.000 0.000 0.500
5 In 0.000 0.500 0.000

***

# 8
A PBEsol-optimized structure of TlCrIn2N. Source: the Alexandria database, functional meta-GGA SCAN.

Output
Formation energy from raw total energies in meV/atom: 187

Cell lengths 3.666, 5.283, 5.283 Å; angles 90.00, 90.00, 90.00 degrees
Fractional coordinates of all 5 atoms:
1 Cr 0.500 0.000 0.000
2 Tl 0.500 0.500 0.500
3 N 0.000 0.000 0.000
4 In 0.000 0.000 0.500
5 In 0.000 0.500 0.000

***

# 9
A PBEsol-optimized structure of Na3CrIn. Source: the Alexandria database, functional meta-GGA SCAN.

Output
Formation enthalpy at 0 K in eV per atom: 0.60

Cell lengths 5.601, 5.601, 5.601 Å; angles 90.00, 90.00, 90.00 degrees
Fractional coordinates of all 5 atoms:
1 Cr 0.000 0.000 0.000
2 Na 0.000 0.500 0.000
3 Na 0.000 0.000 0.500
4 Na 0.500 0.000 0.000
5 In 0.500 0.500 0.500

***

# 10
A PBEsol-optimized structure of CrIn2Ni. Source: the Alexandria database, functional meta-GGA SCAN.

Output
ΔE to the lowest computed polymorph in meV per atom: 104
Formation enthalpy at 0 K in eV per atom: 0.13

Cell lengths 3.144, 4.409, 5.474 Å; angles 113.75, 106.69, 90.00 degrees
Fractional coordinates of all 4 atoms:
1 Cr 0.219 0.719 0.439
2 In 0.992 0.992 0.985
3 In 0.776 0.276 0.552
4 Ni 0.512 0.512 0.024

***

# 11
A PBEsol-optimized structure of CrIn2Ni. Source: the Alexandria database, functional meta-GGA SCAN.

Output
ΔE to the lowest computed polymorph in meV per atom: 0
Formation enthalpy at 0 K in eV per atom: 0.02

Cell lengths 4.513, 4.506, 4.513 Å; angles 59.95, 90.00, 120.05 degrees
Fractional coordinates of all 4 atoms:
1 Cr 0.000 0.000 0.000
2 In 0.750 0.500 0.750
3 In 0.250 0.500 0.250
4 Ni 0.500 0.000 0.500

***

# 12
A PBEsol-optimized structure of CrInNi6. Source: the Alexandria database, functional meta-GGA SCAN.

Output
Formation enthalpy at 0 K in eV per atom: 0.00

Cell lengths 6.195, 6.195, 10.165 Å; angles 90.00, 90.00, 109.72 degrees
Fractional coordinates of all 32 atoms:
1 Cr 0.251 0.749 0.500
2 Cr 0.749 0.251 0.500
3 Cr 0.000 0.000 0.748
4 Cr 0.000 0.000 0.252
5 In 0.255 0.745 0.000
6 In 0.745 0.255 0.000
7 In 0.500 0.500 0.747
8 In 0.500 0.500 0.253
9 Ni 0.244 0.756 0.737
10 Ni 0.884 0.640 0.867
11 Ni 0.116 0.360 0.867
12 Ni 0.756 0.244 0.737
13 Ni 0.360 0.116 0.867
14 Ni 0.640 0.884 0.867
15 Ni 0.500 0.500 0.500
16 Ni 0.114 0.370 0.619
17 Ni 0.370 0.114 0.619
18 Ni 0.244 0.756 0.263
19 Ni 0.886 0.630 0.381
20 Ni 0.114 0.370 0.381
21 Ni 0.756 0.244 0.263
22 Ni 0.370 0.114 0.381
23 Ni 0.630 0.886 0.381
24 Ni 0.500 0.500 0.000
25 Ni 0.116 0.360 0.133
26 Ni 0.360 0.116 0.133
27 Ni 0.000 0.000 0.500
28 Ni 0.630 0.886 0.619
29 Ni 0.886 0.630 0.619
30 Ni 0.000 0.000 0.000
31 Ni 0.640 0.884 0.133
32 Ni 0.884 0.640 0.133

***

# 13
A PBEsol-optimized structure of ZnCr2InNi. Source: the Alexandria database, functional meta-GGA SCAN.

Output
Formation enthalpy at 0 K in eV per atom: 1.46

Cell lengths 4.704, 4.975, 4.975 Å; angles 90.00, 90.00, 90.00 degrees
Fractional coordinates of all 5 atoms:
1 Ni 0.500 0.500 0.500
2 Zn 0.500 0.000 0.000
3 Cr 0.000 0.000 0.500
4 Cr 0.000 0.500 0.000
5 In 0.000 0.000 0.000

***

# 14
A PBEsol-optimized structure of CrIn3O. Source: the Alexandria database, functional meta-GGA SCAN.

Output
Formation energy from raw total energies in meV/atom: 569

Cell lengths 5.077, 5.077, 5.077 Å; angles 90.00, 90.00, 90.00 degrees
Fractional coordinates of all 5 atoms:
1 Cr 0.000 0.000 0.000
2 O 0.500 0.500 0.500
3 In 0.000 0.500 0.000
4 In 0.000 0.000 0.500
5 In 0.500 0.000 0.000

***

# 15
A PBEsol-optimized structure of CrInTc2O. Source: the Alexandria database, functional meta-GGA SCAN.

Output
Formation energy from raw total energies in meV/atom: 112

Cell lengths 3.937, 3.937, 4.697 Å; angles 90.00, 90.00, 90.00 degrees
Fractional coordinates of all 5 atoms:
1 Cr 0.500 0.500 0.500
2 Tc 0.000 0.500 0.000
3 Tc 0.500 0.000 0.000
4 O 0.000 0.000 0.000
5 In 0.000 0.000 0.500

***

# 16
A PBEsol-optimized structure of Cr2InOs. Source: the Alexandria database, functional meta-GGA SCAN.

Output
Formation enthalpy at 0 K in eV per atom: 0.25

Cell lengths 2.932, 2.932, 6.521 Å; angles 90.00, 90.00, 90.00 degrees
Fractional coordinates of all 4 atoms:
1 Cr 0.000 0.000 0.022
2 Cr 0.500 0.500 0.200
3 In 0.000 0.000 0.488
4 Os 0.500 0.500 0.790

***

# 17
A PBEsol-optimized structure of CrInOs3. Source: the Alexandria database, functional meta-GGA SCAN.

Output
Formation enthalpy at 0 K in eV per atom: 2.94

Cell lengths 4.734, 4.734, 4.734 Å; angles 90.00, 90.00, 90.00 degrees
Fractional coordinates of all 5 atoms:
1 Cr 0.500 0.500 0.500
2 Os 0.000 0.500 0.000
3 Os 0.000 0.000 0.500
4 Os 0.500 0.000 0.000
5 In 0.000 0.000 0.000

***

# 18
A PBEsol-optimized structure of Cr2InOs. Source: the Alexandria database, functional meta-GGA SCAN.

Output
Formation enthalpy at 0 K in eV per atom: 0.46

Cell lengths 2.815, 2.815, 8.488 Å; angles 80.45, 80.45, 60.00 degrees
Fractional coordinates of all 4 atoms:
1 Cr 0.006 0.006 0.983
2 Cr 0.737 0.737 0.789
3 In 0.497 0.497 0.508
4 Os 0.260 0.260 0.220

***

# 19
A PBEsol-optimized structure of Cr2InOs. Source: the Alexandria database, functional meta-GGA SCAN.

Output
Formation enthalpy at 0 K in eV per atom: 0.38

Cell lengths 4.304, 4.304, 4.304 Å; angles 60.00, 60.00, 60.00 degrees
Fractional coordinates of all 4 atoms:
1 Cr 0.250 0.250 0.250
2 Cr 0.750 0.750 0.750
3 In 0.000 0.000 0.000
4 Os 0.500 0.500 0.500

***

# 20
A PBEsol-optimized structure of CrInOs2. Source: the Alexandria database, functional meta-GGA SCAN.

Output
Formation enthalpy at 0 K in eV per atom: 0.54

Cell lengths 2.748, 4.921, 5.197 Å; angles 116.96, 103.22, 94.33 degrees
Fractional coordinates of all 4 atoms:
1 Cr 0.500 0.000 0.000
2 In 0.000 0.500 0.000
3 Os 0.000 0.000 0.500
4 Os 0.500 0.500 0.500

***

# 21
A PBEsol-optimized structure of CrInOs2. Source: the Alexandria database, functional meta-GGA SCAN.

Output
Formation enthalpy at 0 K in eV per atom: 0.20

Cell lengths 2.806, 2.806, 7.785 Å; angles 90.00, 90.00, 90.00 degrees
Fractional coordinates of all 4 atoms:
1 Cr 0.000 0.000 0.477
2 In 0.500 0.500 0.753
3 Os 0.000 0.000 0.026
4 Os 0.500 0.500 0.244

***

# 22
A PBEsol-optimized structure of CrInP4. Source: the Alexandria database, functional meta-GGA SCAN.

Output
Formation enthalpy at 0 K in eV per atom: 0.66

Cell lengths 5.154, 5.154, 5.154 Å; angles 60.00, 60.00, 60.00 degrees
Fractional coordinates of all 6 atoms:
1 Cr 0.750 0.750 0.750
2 In 0.000 0.000 0.000
3 P 0.376 0.376 0.376
4 P 0.376 0.376 0.873
5 P 0.873 0.376 0.376
6 P 0.376 0.873 0.376

***

# 23
A PBEsol-optimized structure of CrInP2. Source: the Alexandria database, functional meta-GGA SCAN.

Output
Formation enthalpy at 0 K in eV per atom: 0.25

Cell lengths 3.348, 4.185, 4.691 Å; angles 90.00, 110.91, 90.00 degrees
Fractional coordinates of all 4 atoms:
1 Cr 0.200 0.000 0.400
2 In 0.589 0.500 0.177
3 P 0.899 0.000 0.799
4 P 0.312 0.500 0.625

***

# 24
A PBEsol-optimized structure of CrInP. Source: the Alexandria database, functional meta-GGA SCAN.

Output
ΔE to the lowest computed polymorph in meV per atom: 210
Formation enthalpy at 0 K in eV per atom: 0.31

Cell lengths 4.325, 4.325, 4.325 Å; angles 60.00, 60.00, 60.00 degrees
Fractional coordinates of all 3 atoms:
1 Cr 0.000 0.000 0.000
2 In 0.500 0.500 0.500
3 P 0.250 0.250 0.250

***

# 25
A PBEsol-optimized structure of CrInP2. Source: the Alexandria database, functional meta-GGA SCAN.

Output
Formation enthalpy at 0 K in eV per atom: 0.27

Cell lengths 3.450, 4.405, 4.405 Å; angles 103.19, 90.00, 90.00 degrees
Fractional coordinates of all 4 atoms:
1 Cr 0.500 0.000 0.000
2 In 0.500 0.500 0.500
3 P 0.000 0.500 0.000
4 P 0.000 0.000 0.500

***

# 26
A PBEsol-optimized structure of CrInP2. Source: the Alexandria database, functional meta-GGA SCAN.

Output
Formation enthalpy at 0 K in eV per atom: 0.09

Cell lengths 3.233, 4.306, 5.043 Å; angles 90.00, 98.49, 90.00 degrees
Fractional coordinates of all 4 atoms:
1 Cr 0.500 0.500 0.000
2 In 0.000 0.500 0.500
3 P 0.719 0.000 0.843
4 P 0.281 0.000 0.157

***

# 27
A PBEsol-optimized structure of CrInP2. Source: the Alexandria database, functional meta-GGA SCAN.

Output
Formation enthalpy at 0 K in eV per atom: 0.57

Cell lengths 4.557, 4.557, 4.557 Å; angles 60.00, 60.00, 60.00 degrees
Fractional coordinates of all 4 atoms:
1 Cr 0.500 0.500 0.500
2 In 0.750 0.750 0.750
3 P 0.000 0.000 0.000
4 P 0.250 0.250 0.250

***

# 28
A PBEsol-optimized structure of CrInP. Source: the Alexandria database, functional meta-GGA SCAN.

Output
ΔE to the lowest computed polymorph in meV per atom: 0
Formation enthalpy at 0 K in eV per atom: 0.10

Cell lengths 3.006, 3.006, 6.063 Å; angles 90.00, 90.00, 120.00 degrees
Fractional coordinates of all 3 atoms:
1 Cr 0.000 0.000 0.041
2 In 0.333 0.667 0.682
3 P 0.667 0.333 0.277

***

# 29
A PBEsol-optimized structure of CrInP2. Source: the Alexandria database, functional meta-GGA SCAN.

Output
Formation enthalpy at 0 K in eV per atom: -0.03

Cell lengths 3.031, 4.165, 6.008 Å; angles 107.05, 90.00, 111.34 degrees
Fractional coordinates of all 4 atoms:
1 Cr 0.528 0.056 0.338
2 In 0.169 0.339 0.748
3 P 0.979 0.959 0.046
4 P 0.824 0.647 0.368